Below is a geometry-optimized LiU2Ge4Pt3 structure, with properties calculated at the GGA-PBE level.

## Properties
N(E_F) = 15.7 states/eV/cell
SG = P-4m2, No. 115
formation enthalpy at 0 K = -517.8 meV per atom

Cell lengths 4.160, 4.160, 10.719 Å; angles 90.00, 90.00, 90.00 degrees
Positions (direct):
Li 0.000 0.000 0.000
U 0.000 0.500 0.755
U 0.500 0.000 0.245
Ge 0.000 0.000 0.500
Ge 0.000 0.500 0.134
Ge 0.500 0.000 0.866
Ge 0.500 0.500 0.500
Pt 0.000 0.500 0.363
Pt 0.500 0.000 0.637
Pt 0.500 0.500 0.000